[1]
The following is a DFT calculation (PBE-GGA) of a relaxed Sm5AgSb2 crystal.

Output
VASP energy, eV/atom: -4.7018
Raw formation energy, meV/atom: -365
Calculated volume, Å³ per cell: 1044

a = 5.939 Å, b = 12.065 Å, c = 14.569 Å
α = 90.00°, β = 90.00°, γ = 90.00°
Space group Cmcm (No. 63)
One atom of each set of equivalent atoms:
Sm1 0.000 0.066 0.107 [8 per cell]
Sm2 0.000 0.360 0.750 [4 per cell]
Sm3 0.000 0.378 0.061 [8 per cell]
Ag1 0.000 0.262 0.250 [4 per cell]
Sb1 0.000 0.195 0.592 [8 per cell]


[2]
The following is a DFT calculation (PBE-GGA) of a relaxed NiOsRu2 crystal.

Output
VASP energy, eV/atom: -8.7087
E above lowest polymorph, meV per atom: 98
Calculated volume, Å³ per cell: 107

a = 3.733 Å, b = 3.733 Å, c = 7.694 Å
α = 90.00°, β = 90.00°, γ = 90.00°
Space group I-4m2 (No. 119)
One atom of each set of equivalent atoms:
Ni1 0.000 0.000 0.000 [2 per cell]
Os1 0.000 0.500 0.750 [2 per cell]
Ru1 0.000 0.000 0.500 [2 per cell]
Ru2 0.000 0.500 0.250 [2 per cell]


[3]
The following is a DFT calculation (PBE-GGA) of a relaxed CrAs2S crystal.

Output
VASP energy, eV/atom: -5.3490
Raw formation energy, meV/atom: 414
Calculated volume, Å³ per cell: 377

a = 5.562 Å, b = 5.562 Å, c = 12.191 Å
α = 90.00°, β = 90.00°, γ = 90.00°
Space group I-42d (No. 122)
One atom of each set of equivalent atoms:
Cr1 0.000 0.000 0.000 [4 per cell]
As1 0.230 0.250 0.125 [8 per cell]
S1 0.000 0.000 0.500 [4 per cell]


[4]
The following is a DFT calculation (PBE-GGA) of a relaxed U2RuPt crystal.

Output
VASP energy, eV/atom: -9.3845
Calculated volume, Å³ per cell: 229

a = 2.9626 Å, b = 2.9626 Å, c = 30.1854 Å
α = 90.00°, β = 90.00°, γ = 120.00°
Space group R-3m (No. 166, hexagonal axes)
One atom of each set of equivalent atoms:
U1 0.0000 0.0000 0.0903 [6 per cell]
Ru1 0.0000 0.0000 0.5000 [3 per cell]
Pt1 0.0000 0.0000 0.0000 [3 per cell]


[5]
The following is a DFT calculation (PBE-GGA) of a relaxed Li4Sm3ErTe8 crystal.

Output
VASP energy, eV/atom: -4.5115
Raw formation energy, meV/atom: -1292
Calculated volume, Å³ per cell: 1419

a = 8.7837 Å, b = 8.7837 Å, c = 21.2313 Å
α = 90.00°, β = 90.00°, γ = 120.00°
Space group R-3m (No. 166, hexagonal axes)
One atom of each set of equivalent atoms:
Li1 0.0000 0.0000 0.0000 [3 per cell]
Li2 0.0000 0.5000 0.0000 [9 per cell]
Sm1 0.0000 0.5000 0.5000 [9 per cell]
Er1 0.0000 0.0000 0.5000 [3 per cell]
Te1 0.0000 0.0000 0.2535 [6 per cell]
Te2 0.0062 0.5031 0.2524 [18 per cell]


> Among the records above, which one has the highest calculated volume?

Li4Sm3ErTe8